(1)
A relaxed CaMo2Br crystal. Source: Alexandria via LeMat-Bulk, functional PBEsol.

Unit cell a=3.264 b=5.575 c=5.703 alpha=119.26 beta=106.63 gamma=90.00
Positions (direct):
Br 0.474 0.474 0.947
Ca 0.241 0.741 0.483
Mo 0.732 0.232 0.465
Mo 0.053 0.053 0.105

Volume: 21.4 Å³ per atom
ΔE to the lowest computed polymorph: 0.0 meV/atom
Energy: -6.34 eV/atom

(2)
A relaxed As2IrPb crystal. Source: Alexandria via LeMat-Bulk, functional PBEsol.

Unit cell a=3.143 b=4.893 c=4.893 alpha=90.00 beta=90.00 gamma=90.00
Positions (direct):
Ir 0.500 0.500 0.500
Pb 0.500 0.000 0.000
As 0.000 0.000 0.500
As 0.000 0.500 0.000

Volume: 18.8 Å³ per atom
ΔE to the lowest computed polymorph: 611.2 meV/atom
Energy: -5.45 eV/atom